1.
# HgBiPd6

An optimized crystal structure of HgBiPd6 (GGA-PBE, Alexandria).

```
HgBiPd6
1.0
-2.656 2.270 2.127
-3.072 -1.480 -2.258
-0.970 -6.143 5.345
Hg Bi Pd
1 1 6
direct
0.000 0.000 0.000
0.000 0.000 0.500
0.000 0.500 0.752
0.500 0.500 0.000
0.500 0.500 0.500
0.500 0.000 0.752
0.500 0.000 0.248
0.000 0.500 0.248
```

Calculated values
Formation enthalpy at 0 K = -0.21 eV per atom
Crystal system = tetragonal

2.
# CeDy2Co

An optimized crystal structure of CeDy2Co (GGA-PBE, Alexandria).

```
CeDy2Co
1.0
3.368 0.000 0.000
0.000 3.368 0.000
0.000 0.000 8.844
Ce Dy Co
1 2 1
direct
0.500 0.500 0.500
0.000 0.000 0.817
0.000 0.000 0.183
0.500 0.500 0.000
```

Calculated values
Formation enthalpy at 0 K = -0.02 eV per atom
Crystal system = tetragonal

3.
# CsAl3F

An optimized crystal structure of CsAl3F (GGA-PBE, Alexandria).

```
CsAl3F
1.0
5.165 0.000 0.000
0.000 5.165 0.000
0.000 0.000 5.165
Al Cs F
3 1 1
direct
0.000 0.500 0.000
0.500 0.000 0.000
0.000 0.000 0.500
0.500 0.500 0.500
0.000 0.000 0.000
```

Calculated values
ΔE_f (raw) = 107 meV per atom
Crystal system = cubic

Number 1: ΔE to the lowest computed polymorph 0 meV/atom, E_tot -4.6240 eV per atom, density of states at the Fermi level 5.55 states/eV/f.u.. Number 2: ΔE to the lowest computed polymorph 154 meV/atom, E_tot -5.5839 eV per atom, density of states at the Fermi level 6.03 states/eV/f.u.. Number 3: ΔE to the lowest computed polymorph 0 meV/atom, E_tot -2.6839 eV per atom, density of states at the Fermi level 4.55 states/eV/f.u..